[1]
A relaxed structure of Sc2HO. Source: the Alexandria database, functional GGA-PBE.

Lattice parameters (Å, degrees): 4.9699 4.9699 5.8524 64.87 64.87 90.00
Last column: nearest neighbours and their distance in Å.
Fractional positions:
1 Sc 0.6360 0.1250 0.2500  2 O 2.08, 2 H 2.14
2 Sc 0.1140 0.6250 0.2500  2 O 2.08, 2 H 2.14
3 Sc 0.3750 0.3640 0.7500  2 O 2.08, 2 H 2.14
4 Sc 0.8750 0.8860 0.7500  2 O 2.08, 2 H 2.14
5 H 0.5000 0.5000 0.0000  4 Sc 2.14
6 H 0.2500 0.7500 0.5000  4 Sc 2.14
7 O 0.0000 0.0000 0.0000  4 Sc 2.08
8 O 0.7500 0.2500 0.5000  4 Sc 2.08

Calculated values
Relative energy among the computed polymorphs: 74 meV/atom
Symmetry: I-42d
N(E_F): 2.967 states/eV per cell

---

[2]
A relaxed structure of Sc8H3O3. Source: the Alexandria database, functional GGA-PBE.

Lattice parameters (Å, degrees): 6.4529 6.4529 6.4529 60.27 60.27 60.27
Last column: nearest neighbours and their distance in Å.
Fractional positions:
1 Sc 0.7497 0.7497 0.7497  1 H 1.98
2 Sc 0.2469 0.7446 0.7446  1 H 1.99
3 Sc 0.7446 0.2469 0.7446  1 H 1.99
4 Sc 0.7446 0.7446 0.2469  1 H 1.99
5 Sc 0.2503 0.2503 0.2503  1 H 1.98
6 Sc 0.7531 0.2554 0.2554  1 H 1.99
7 Sc 0.2554 0.7531 0.2554  1 H 1.99
8 Sc 0.2554 0.2554 0.7531  1 H 1.99
9 H 0.3761 0.3761 0.3761  4 Sc 1.98-1.99
10 H 0.6239 0.6239 0.6239  4 Sc 1.98-1.99
11 H 0.0000 0.0000 0.0000  6 Sc 2.34
12 O 0.5000 0.0000 0.0000  6 Sc 2.25-2.29
13 O 0.0000 0.5000 0.0000  6 Sc 2.25-2.29
14 O 0.0000 0.0000 0.5000  6 Sc 2.25-2.29

Calculated values
Final energy: -6.794 eV per atom
Symmetry: R-3m
N(E_F): 12.366 states/eV per cell

---

[3]
A relaxed structure of ScHO. Source: the Alexandria database, functional GGA-PBE.

Lattice parameters (Å, degrees): 3.2101 3.2068 5.7485 90.00 90.00 120.04
Last column: nearest neighbours and their distance in Å.
Fractional positions:
1 Sc 0.6672 0.3344 0.2500  3 H 1.85
2 Sc 0.3328 0.6656 0.7500  3 H 1.85
3 H 0.6664 0.3327 0.7500  3 Sc 1.85
4 H 0.3336 0.6673 0.2500  3 Sc 1.85
5 O 0.0000 0.0000 0.0000  6 Sc 2.34-2.35, 6 H 2.34
6 O 0.0000 0.0000 0.5000  6 Sc 2.34-2.35, 6 H 2.34

Calculated values
Relative energy among the computed polymorphs: 188 meV/atom
Symmetry: Cmcm
N(E_F): 0.000 states/eV per cell